InTeAu2 PBE-GGA optimized geometry; distance to the lowest polymorph of the same formula = 4.70 kcal/mol of atoms; N(E_F) = 0.444 states/eV per atom; energy relative to the elements, uncorrected = 0.11 eV per atom
1.0
-1.104 0.294 -3.092
-2.113 -2.194 1.260
-5.272 6.514 2.502
Au Te In
2 1 1
direct
0.500 0.500 0.237 Au
0.000 0.000 0.022 Au
0.500 0.500 0.783 Te
0.000 0.000 0.458 In